[1]
Entry from Alexandria via LeMat-Bulk: a relaxed Mg2CoAg2 crystal (PBE).

Calculated values
Total magnetic moment (Bohr magnetons per cell): 3.4
Energy relative to the elements (meV per atom): 193
Raw total energy (Ry per atom): -0.221
Symmetry: P4/mbm, No. 127

POSCAR file:
```
Mg2CoAg2
1.0
6.8217 0.0000 0.0000
0.0000 6.8217 0.0000
0.0000 0.0000 3.9561
Mg Co Ag
4 2 4
direct
0.1688 0.3312 0.0000
0.3312 0.8312 0.0000
0.6688 0.1688 0.0000
0.8312 0.6688 0.0000
0.0000 0.0000 0.5000
0.5000 0.5000 0.5000
0.1414 0.6414 0.5000
0.3586 0.1414 0.5000
0.6414 0.8586 0.5000
0.8586 0.3586 0.5000
```

***

[2]
Entry from Alexandria via LeMat-Bulk: a relaxed Zr3HgN crystal (PBE).

Calculated values
Total magnetic moment (Bohr magnetons per cell): 0.0
Uncorrected formation energy (eV per atom): -0.206
Raw total energy (Ry per atom): -0.519
Symmetry: I-4m2, No. 119

POSCAR file:
```
Zr3HgN
1.0
-3.0797 3.0797 5.6943
3.0797 -3.0797 5.6943
3.0797 3.0797 -5.6943
Zr Hg N
6 2 2
direct
0.1259 0.1259 0.0000
0.3639 0.6193 0.7446
0.3807 0.1253 0.7446
0.3807 0.6361 0.2554
0.8741 0.8741 0.0000
0.8747 0.6193 0.2554
0.6202 0.1202 0.5000
0.8798 0.3798 0.5000
0.2500 0.7500 0.5000
0.5000 0.5000 0.0000
```

***

[3]
Entry from Alexandria via LeMat-Bulk: a relaxed NdSmLuZr crystal (PBE).

Calculated values
Total magnetic moment (Bohr magnetons per cell): 1.6
Energy relative to the elements (meV per atom): 237
Raw total energy (Ry per atom): -0.397
Symmetry: F-43m, No. 216

POSCAR file:
```
NdSmLuZr
1.0
0.0000 3.9115 3.9115
3.9115 0.0000 3.9115
3.9115 3.9115 0.0000
Nd Sm Lu Zr
1 1 1 1
direct
0.0000 0.0000 0.0000
0.7500 0.7500 0.7500
0.2500 0.2500 0.2500
0.5000 0.5000 0.5000
```